# 1
The following is a DFT calculation (GGA-PBE) of a relaxed structure of Hf8Mg.

Calculated values
D(E_F)   8.6 states/eV per cell
Formation energy   0.055 eV/atom
ρ   11.98 g/cm3

abc: 4.398 7.114 7.114
angles: 84.52 72.00 72.00
Element x y z (fractional)
Hf  0.330  0.341  0.000
Hf  0.670  0.000  0.659
Hf  0.663  0.337  0.337
Hf  0.000  0.663  0.337
Hf  0.000  0.337  0.663
Hf  0.337  0.663  0.663
Hf  0.670  0.659  0.000
Hf  0.330  0.000  0.341
Mg  0.000  0.000  0.000

=====

# 2
The following is a DFT calculation (GGA-PBE) of a relaxed structure of HfMg4.

Calculated values
D(E_F)   3.8 states/eV per cell
Formation energy   0.050 eV/atom
ρ   4.12 g/cm3
Polymorph energy (0 for the lowest one)   0.000 eV per atom

abc: 3.173 3.173 11.256
angles: 98.10 98.10 90.00
Element x y z (fractional)
Mg  0.200  0.200  0.400
Mg  0.599  0.599  0.198
Mg  0.401  0.401  0.802
Mg  0.800  0.800  0.600
Hf  0.000  0.000  0.000

=====

# 3
The following is a DFT calculation (GGA-PBE) of a relaxed structure of Hf5Mg2.

Calculated values
D(E_F)   7.2 states/eV per cell
Formation energy   0.345 eV/atom
ρ   9.78 g/cm3

abc: 3.137 7.883 6.782
angles: 85.87 76.62 78.52
Element x y z (fractional)
Hf  0.000  0.000  0.000
Hf  0.844  0.657  0.654
Hf  0.156  0.343  0.346
Hf  0.374  0.372  0.880
Hf  0.626  0.628  0.120
Mg  0.357  0.917  0.368
Mg  0.643  0.083  0.632

=====

# 4
The following is a DFT calculation (GGA-PBE) of a relaxed structure of Hf5Mg.

Calculated values
D(E_F)   6.5 states/eV per cell
Formation energy   0.070 eV/atom
ρ   11.47 g/cm3
Polymorph energy (0 for the lowest one)   0.000 eV per atom

abc: 4.457 4.484 7.007
angles: 108.66 90.00 90.00
Element x y z (fractional)
Hf  0.500  0.833  0.665
Hf  0.000  0.331  0.663
Hf  0.500  0.500  0.000
Hf  0.000  0.669  0.337
Hf  0.500  0.167  0.335
Mg  0.000  0.000  0.000

=====

# 5
The following is a DFT calculation (GGA-PBE) of a relaxed structure of HfMg15.

Calculated values
D(E_F)   6.4 states/eV per cell
Formation energy   0.034 eV/atom
ρ   2.48 g/cm3

abc: 6.408 6.408 10.218
angles: 90.00 90.00 120.00
Element x y z (fractional)
Mg  0.167  0.333  0.500
Mg  0.000  0.000  0.244
Mg  0.169  0.339  0.000
Mg  0.503  0.007  0.246
Mg  0.000  0.000  0.756
Mg  0.667  0.333  0.500
Mg  0.503  0.497  0.246
Mg  0.667  0.833  0.500
Mg  0.169  0.831  0.000
Mg  0.661  0.831  0.000
Mg  0.167  0.833  0.500
Mg  0.503  0.497  0.754
Mg  0.503  0.007  0.754
Mg  0.993  0.497  0.246
Mg  0.993  0.497  0.754
Hf  0.667  0.333  0.000

=====

# 6
The following is a DFT calculation (GGA-PBE) of a relaxed structure of Hf4Mg.

Calculated values
D(E_F)   10.8 states/eV per cell
Formation energy   1.260 eV/atom
ρ   9.84 g/cm3
Polymorph energy (0 for the lowest one)   1.158 eV per atom

abc: 4.995 4.995 4.995
angles: 90.00 90.00 90.00
Element x y z (fractional)
Hf  0.000  0.000  0.000
Hf  0.500  0.500  0.000
Hf  0.000  0.500  0.500
Hf  0.500  0.000  0.500
Mg  0.500  0.500  0.500

=====

# 7
The following is a DFT calculation (GGA-PBE) of a relaxed structure of Hf5Mg.

Calculated values
D(E_F)   7.4 states/eV per cell
Formation energy   0.082 eV/atom
ρ   11.46 g/cm3
Polymorph energy (0 for the lowest one)   0.012 eV per atom

abc: 4.361 5.519 6.382
angles: 108.01 90.00 113.27
Element x y z (fractional)
Hf  0.972  0.944  0.444
Hf  0.644  0.287  0.775
Hf  0.301  0.601  0.113
Hf  0.307  0.613  0.608
Hf  0.638  0.276  0.280
Mg  0.972  0.945  0.945

=====

# 8
The following is a DFT calculation (GGA-PBE) of a relaxed structure of Hf3Mg.

Calculated values
D(E_F)   5.0 states/eV per cell
Formation energy   0.087 eV/atom
ρ   10.67 g/cm3
Polymorph energy (0 for the lowest one)   0.013 eV per atom

abc: 4.434 4.434 4.434
angles: 90.00 90.00 90.00
Element x y z (fractional)
Mg  0.000  0.000  0.000
Hf  0.500  0.500  0.000
Hf  0.500  0.000  0.500
Hf  0.000  0.500  0.500

=====

# 9
The following is a DFT calculation (GGA-PBE) of a relaxed structure of HfMg4.

Calculated values
D(E_F)   5.2 states/eV per cell
Formation energy   1.145 eV/atom
ρ   2.63 g/cm3
Polymorph energy (0 for the lowest one)   1.095 eV per atom

abc: 5.584 5.584 5.584
angles: 90.00 90.00 90.00
Site moments in Bohr magnetons follow the coordinates.
Element x y z (fractional)
Mg  0.500  0.500  0.000  0.02
Mg  0.500  0.000  0.500  0.02
Mg  0.000  0.500  0.500  0.02
Mg  0.000  0.000  0.000  -0.01
Hf  0.500  0.500  0.500  0.74

=====

# 10
The following is a DFT calculation (GGA-PBE) of a relaxed structure of HfMg3Mn.

Calculated values
D(E_F)   4.9 states/eV per cell
Formation energy   0.944 eV/atom
ρ   4.78 g/cm3
Polymorph energy (0 for the lowest one)   0.000 eV per atom

abc: 4.738 4.738 4.738
angles: 90.00 90.00 90.00
Element x y z (fractional)
Hf  0.500  0.500  0.500
Mg  0.000  0.000  0.500
Mg  0.500  0.000  0.000
Mg  0.000  0.500  0.000
Mn  0.000  0.000  0.000

=====

# 11
The following is a DFT calculation (GGA-PBE) of a relaxed structure of HfMg6Mn.

Calculated values
D(E_F)   4.8 states/eV per cell
Formation energy   0.149 eV/atom
ρ   3.73 g/cm3
Polymorph energy (0 for the lowest one)   0.000 eV per atom

abc: 6.380 6.380 4.901
angles: 90.00 90.00 122.26
Site moments in Bohr magnetons follow the coordinates.
Element x y z (fractional)
Mg  0.319  0.169  0.500  -0.01
Mg  0.178  0.335  0.000  -0.01
Mg  0.665  0.822  0.000  -0.01
Mg  0.833  0.167  0.500  0.01
Mg  0.674  0.326  0.000  -0.01
Mg  0.831  0.681  0.500  -0.01
Hf  0.310  0.690  0.500  -0.38
Mn  0.190  0.810  0.000  3.34

=====

# 12
The following is a DFT calculation (GGA-PBE) of a relaxed structure of Hf2MgMn2.

Calculated values
D(E_F)   4.3 states/eV per cell
Formation energy   0.392 eV/atom
ρ   8.32 g/cm3
Polymorph energy (0 for the lowest one)   0.362 eV per atom

abc: 4.207 4.207 6.287
angles: 70.45 70.45 90.00
Site moments in Bohr magnetons follow the coordinates.
Element x y z (fractional)
Mn  0.599  0.599  0.802  2.08
Mn  0.401  0.401  0.198  2.08
Hf  0.750  0.250  0.500  -0.19
Hf  0.250  0.750  0.500  -0.19
Mg  0.000  0.000  0.000  -0.01

=====

D(E_F) of number 7 (Hf5Mg)? 7.4 states/eV per cell